# GGA+U Ge2WF8, optimized geometry
data_Ge2WF8
_chemical_formula_sum 'Ge4 W2 F16'
_symmetry_space_group_name_H-M 'C 1 2/m 1'
_symmetry_Int_Tables_number 12
_cell_length_a 13.561
_cell_length_b 5.731
_cell_length_c 5.056
_cell_angle_alpha 90.00
_cell_angle_beta 101.46
_cell_angle_gamma 90.00
loop_
_symmetry_equiv_pos_as_xyz
'x,y,z'
'-x,-y,-z'
'-x,y,-z'
'x,-y,z'
'x+1/2,y+1/2,z'
'-x+1/2,-y+1/2,-z'
'-x+1/2,y+1/2,-z'
'x+1/2,-y+1/2,z'
loop_
_atom_site_label
_atom_site_type_symbol
_atom_site_fract_x
_atom_site_fract_y
_atom_site_fract_z
Ge1 Ge 0.188 0.000 0.234
W1 W 0.000 0.500 0.000
F1 F 0.074 0.238 0.239
F2 F 0.108 0.500 0.793
F3 F 0.219 0.000 0.600
# Calculated volume: 193 Å³/f.u.
# Final energy: -5.194 eV per atom
# DOS(E_F): 0.000 states/eV per atom